Record 1
Below is a relaxed ScCuTcGe crystal, with properties calculated at the PBE level.

Cell and atoms, written as POSCAR:
```
ScCuTcGe
1.0
0.0000 3.1190 3.1190
3.1190 0.0000 3.1190
3.1190 3.1190 0.0000
Cu Tc Sc Ge
1 1 1 1
direct
0.7500 0.7500 0.7500
0.2500 0.2500 0.2500
0.5000 0.5000 0.5000
0.0000 0.0000 0.0000
```

Values from the calculation:
The space group is F-43m, No. 216. For the relative energy among the computed polymorphs, the calculation gives 0.0 kJ/mol of atoms. As for the calculated density: 7639 kg/m³. The calculation puts the uncorrected energy at -6.39 eV/atom. Its size of the total moment is 0.003 μB/f.u.

Record 2
Below is a relaxed YScCuGe crystal, with properties calculated at the PBE level.

Cell and atoms, written as POSCAR:
```
YScCuGe
1.0
-4.0223 -1.2481 2.3548
-1.1405 2.1798 4.1509
-3.7362 3.0482 0.1772
Sc Y Ge Cu
1 1 1 1
direct
0.2500 0.2500 0.2500
0.5000 0.5000 0.5000
0.0000 0.0000 0.0000
0.7500 0.7500 0.7500
```

Values from the calculation:
The space group is F-43m, No. 216. For the relative energy among the computed polymorphs, the calculation gives 0.0 kJ/mol of atoms. As for the calculated density: 5645 kg/m³. The calculation puts the uncorrected energy at -5.21 eV/atom. Its size of the total moment is 1.741 μB/f.u.

Record 3
Below is a relaxed ScZnCu4Ge2 crystal, with properties calculated at the PBE level.

Cell and atoms, written as POSCAR:
```
ScZnCu4Ge2
1.0
4.1723 0.0000 0.0000
0.0000 4.1723 0.0000
0.0000 0.0000 6.6670
Sc Ge Zn Cu
1 2 1 4
direct
0.0000 0.0000 0.5000
0.5000 0.5000 0.5000
0.0000 0.0000 0.0000
0.5000 0.5000 0.0000
0.5000 0.0000 0.2260
0.0000 0.5000 0.7740
0.0000 0.5000 0.2260
0.5000 0.0000 0.7740
```

Values from the calculation:
The space group is P4/mmm, No. 123. As for the calculated density: 7295 kg/m³. The calculation puts the uncorrected energy at -4.09 eV/atom. Its size of the total moment is 0.003 μB/f.u.

Record 4
Below is a relaxed ScZnCuGe crystal, with properties calculated at the PBE level.

Cell and atoms, written as POSCAR:
```
ScZnCuGe
1.0
0.0000 3.1805 3.1805
3.1805 0.0000 3.1805
3.1805 3.1805 0.0000
Sc Cu Zn Ge
1 1 1 1
direct
0.5000 0.5000 0.5000
0.2500 0.2500 0.2500
0.7500 0.7500 0.7500
0.0000 0.0000 0.0000
```

Values from the calculation:
The space group is F-43m, No. 216. For the relative energy among the computed polymorphs, the calculation gives 6.5 kJ/mol of atoms. As for the calculated density: 6363 kg/m³. The calculation puts the uncorrected energy at -4.17 eV/atom. Its size of the total moment is 0.001 μB/f.u.

Q: Which of these has the lowest uncorrected energy?
A: ScCuTcGe

Please write out number 2 again, unchanged.
Below is a relaxed YScCuGe crystal, with properties calculated at the PBE level.

Cell and atoms, written as POSCAR:
```
YScCuGe
1.0
-4.0223 -1.2481 2.3548
-1.1405 2.1798 4.1509
-3.7362 3.0482 0.1772
Sc Y Ge Cu
1 1 1 1
direct
0.2500 0.2500 0.2500
0.5000 0.5000 0.5000
0.0000 0.0000 0.0000
0.7500 0.7500 0.7500
```

Values from the calculation:
The space group is F-43m, No. 216. For the relative energy among the computed polymorphs, the calculation gives 0.0 kJ/mol of atoms. As for the calculated density: 5645 kg/m³. The calculation puts the uncorrected energy at -5.21 eV/atom. Its size of the total moment is 1.741 μB/f.u.

Q: Among the records above, which one has the lowest size of the total moment?
A: ScZnCuGe